DFT (PBE) results for a relaxed Rb12Mg3Br5 crystal.

- raw total energy (eV/atom) = -1.91
- formation energy without anion corrections (eV per atom) = -0.67
- space group = No. 230

Unit cell a=18.7680 b=18.7680 c=18.7680 alpha=109.47 beta=109.47 gamma=109.47
Fractional coordinates of all 80 atoms:
Mg1 0.7500 0.3750 0.1250
Mg2 0.8750 0.7500 0.1250
Mg3 0.3750 0.7500 0.6250
Mg4 0.2500 0.1250 0.3750
Mg5 0.8750 0.1250 0.2500
Mg6 0.3750 0.6250 0.2500
Mg7 0.6250 0.3750 0.7500
Mg8 0.1250 0.8750 0.7500
Mg9 0.7500 0.8750 0.6250
Mg10 0.6250 0.2500 0.3750
Mg11 0.1250 0.2500 0.8750
Mg12 0.2500 0.6250 0.8750
Br1 0.1250 0.3750 0.2500
Br2 0.0000 0.5000 0.0000
Br3 0.0000 0.0000 0.0000
Br4 0.3750 0.2500 0.1250
Br5 0.5000 0.0000 0.5000
Br6 0.5000 0.5000 0.0000
Br7 0.1250 0.7500 0.3750
Br8 0.7500 0.1250 0.8750
Br9 0.7500 0.6250 0.3750
Br10 0.3750 0.1250 0.7500
Br11 0.6250 0.8750 0.2500
Br12 0.5000 0.5000 0.5000
Br13 0.5000 0.0000 0.0000
Br14 0.0000 0.0000 0.5000
Br15 0.2500 0.3750 0.6250
Br16 0.2500 0.8750 0.1250
Br17 0.0000 0.5000 0.5000
Br18 0.8750 0.2500 0.6250
Br19 0.6250 0.7500 0.8750
Br20 0.8750 0.6250 0.7500
Rb1 0.7099 0.1244 0.0350
Rb2 0.3250 0.5350 0.4106
Rb3 0.9650 0.3756 0.2901
Rb4 0.5350 0.2099 0.1244
Rb5 0.5856 0.7099 0.6750
Rb6 0.9650 0.5894 0.1750
Rb7 0.3250 0.7901 0.4144
Rb8 0.0894 0.9144 0.1244
Rb9 0.5894 0.9650 0.6750
Rb10 0.7099 0.5856 0.1750
Rb11 0.7901 0.4650 0.3756
Rb12 0.8250 0.9106 0.0350
Rb13 0.1244 0.7099 0.5350
Rb14 0.3756 0.4106 0.0856
Rb15 0.0856 0.9106 0.3756
Rb16 0.4144 0.1244 0.5894
Rb17 0.0856 0.1750 0.2099
Rb18 0.4650 0.6750 0.0894
Rb19 0.8250 0.9144 0.2901
Rb20 0.1244 0.4144 0.0894
Rb21 0.3756 0.9650 0.7901
Rb22 0.5894 0.6244 0.4144
Rb23 0.9106 0.8250 0.5350
Rb24 0.7901 0.3250 0.9144
Rb25 0.4106 0.3756 0.5856
Rb26 0.0894 0.1750 0.4650
Rb27 0.2099 0.6750 0.0856
Rb28 0.1750 0.0856 0.7099
Rb29 0.6244 0.0350 0.2099
Rb30 0.8756 0.5856 0.9106
Rb31 0.5350 0.3250 0.9106
Rb32 0.5856 0.8756 0.4106
Rb33 0.9144 0.8250 0.7901
Rb34 0.9144 0.0894 0.6244
Rb35 0.8756 0.2901 0.4650
Rb36 0.1750 0.0894 0.9650
Rb37 0.6244 0.5894 0.9144
Rb38 0.4106 0.0350 0.3250
Rb39 0.2901 0.4144 0.8250
Rb40 0.2099 0.5350 0.6244
Rb41 0.9106 0.0856 0.8756
Rb42 0.6750 0.2099 0.5856
Rb43 0.4650 0.7901 0.8756
Rb44 0.0350 0.4106 0.8250
Rb45 0.4144 0.2901 0.3250
Rb46 0.0350 0.6244 0.7099
Rb47 0.6750 0.4650 0.5894
Rb48 0.2901 0.8756 0.9650